## A
CdAg2Au2 | PBE | relaxed

The calculated density is 11.59 g/cm³.

The space group is I4/mmm (No. 139) and the conventional cell measures 3.8656, 3.8656 and 13.8492 Å, with angles of 90.00, 90.00 and 90.00 degrees. The distinct sites, in fractional coordinates, are Cd at (0.0000, 0.0000, 0.0000), Ag at (0.0000, 0.5000, 0.2500) and Au at (0.0000, 0.0000, 0.4022).

***

## B
CdAg2Au2 | PBE | relaxed

The calculated density is 11.49 g/cm³.

The space group is I4/mmm (No. 139) and the conventional cell measures 3.8697, 3.8697 and 13.9321 Å, with angles of 90.00, 90.00 and 90.00 degrees. The distinct sites, in fractional coordinates, are Cd at (0.0000, 0.0000, 0.0000), Ag at (0.0000, 0.0000, 0.4030) and Au at (0.0000, 0.5000, 0.2500).

***

## C
CdAg2Au2 | PBE | relaxed

The calculated density is 12.09 g/cm³.

The space group is P4/mbm (No. 127) and the conventional cell measures 7.3816, 7.3816 and 3.6406 Å, with angles of 90.00, 90.00 and 90.00 degrees. The distinct sites, in fractional coordinates, are Cd at (0.0000, 0.0000, 0.0000), Ag at (0.1618, 0.3382, 0.5000) and Au at (0.1365, 0.6365, 0.0000).

***

## D
CdAg2Au2 | PBE | relaxed

The calculated density is 12.24 g/cm³.

The space group is P4/mbm (No. 127) and the conventional cell measures 7.6295, 7.6295 and 3.3663 Å, with angles of 90.00, 90.00 and 90.00 degrees. The distinct sites, in fractional coordinates, are Cd at (0.0000, 0.0000, 0.0000), Ag at (0.1321, 0.3679, 0.0000) and Au at (0.1659, 0.6659, 0.5000).

***

Name the most stable of them. C.

***

## A
Cd2Ag4Au3 | PBE | relaxed

The calculated density is 12.26 g/cm³.

The space group is C2/c (No. 15) and the conventional cell measures 13.3840, 10.0014 and 5.1152 Å, with angles of 90.00, 99.23 and 90.00 degrees. The distinct sites, in fractional coordinates, are Cd at (0.1153, 0.1284, 0.3046), Ag at (0.0549, 0.3754, 0.0264), Ag at (0.2248, 0.1276, 0.8569), Au at (0.0000, 0.1250, 0.7500) and Au at (0.1647, 0.3777, 0.5862).

***

## B
Cd2Ag4Au3 | PBE | relaxed

The calculated density is 12.44 g/cm³.

The space group is C2/m (No. 12) and the conventional cell measures 12.5564, 4.2153 and 6.6440 Å, with angles of 90.00, 108.78 and 90.00 degrees. The distinct sites, in fractional coordinates, are Cd at (0.1620, 0.0000, 0.0005), Ag at (0.0570, 0.0000, 0.3409), Ag at (0.2208, 0.5000, 0.3378), Au at (0.0000, 0.5000, 0.0000) and Au at (0.1122, 0.5000, 0.6693).

***

Name the most stable of them. B.